Density functional theory data (PBE) for a relaxed AgRhS2 crystal.

Cell: 7.062 6.489 6.489 Å, 46.17 104.74 75.26°
Fractional coordinates of all 8 atoms:
S  0.065  0.280  0.957
S  0.435  0.457  0.780
S  0.935  0.720  0.043
S  0.565  0.543  0.220
Rh  0.750  0.277  0.777
Rh  0.250  0.723  0.223
Ag  0.750  0.958  0.458
Ag  0.250  0.042  0.542

Calculated values
Symmetry: No. 15
E_tot, eV for the cell shown: -37.19
ΔE_f (raw), meV per atom: -34
Total magnetization, μB per atom: 0.000
N(E_F), states/eV per cell: 3.94

***

Density functional theory data (PBE) for a relaxed AgRhS2 crystal.

Cell: 6.116 3.495 13.149 Å, 90.00 90.00 90.00°
Fractional coordinates of all 16 atoms:
S  0.791  0.250  0.482
S  0.709  0.750  0.982
S  0.209  0.750  0.518
S  0.291  0.250  0.018
S  0.396  0.250  0.710
S  0.104  0.750  0.210
S  0.604  0.750  0.290
S  0.896  0.250  0.790
Rh  0.059  0.250  0.614
Rh  0.441  0.750  0.114
Rh  0.941  0.750  0.386
Rh  0.559  0.250  0.886
Ag  0.311  0.250  0.340
Ag  0.189  0.750  0.840
Ag  0.689  0.750  0.660
Ag  0.811  0.250  0.160

Calculated values
Symmetry: No. 62
E_tot, eV for the cell shown: -75.08
ΔE_f (raw), meV per atom: -78
Total magnetization, μB per atom: 0.000
N(E_F), states/eV per cell: 6.03